Record 1
A PBEsol-optimized structure of K2AgMo. Source: the Alexandria database, functional meta-GGA SCAN.

D(E_F) = 0.755 states/eV per atom
Space group = Cmmm
Energy of formation from the pure elements = 4.23 eV per formula unit

abc: 2.856 2.856 11.518
angles: 90.00 90.00 109.19
Atoms (fractional coordinates):
Ag 0.500 0.500 0.500
K 0.000 0.000 0.746
K 0.000 0.000 0.254
Mo 0.500 0.500 0.000

---

Record 2
A PBEsol-optimized structure of Ba3Ni. Source: the Alexandria database, functional meta-GGA SCAN.

D(E_F) = 1.303 states/eV per atom
Space group = R-3m
Energy of formation from the pure elements = 2.43 eV per formula unit

abc: 4.043 6.704 6.704
angles: 116.07 101.60 101.60
Atoms (fractional coordinates):
Ba 0.000 0.500 0.000
Ba 0.000 0.000 0.500
Ba 0.500 0.500 0.500
Ni 0.500 0.000 0.000

---

Record 3
A PBEsol-optimized structure of MnAgGe3. Source: the Alexandria database, functional meta-GGA SCAN.

D(E_F) = 0.240 states/eV per atom
Space group = Pm-3m
Energy of formation from the pure elements = 1.74 eV per formula unit

abc: 4.527 4.527 4.527
angles: 90.00 90.00 90.00
Atoms (fractional coordinates):
Ge 0.000 0.500 0.000
Ge 0.000 0.000 0.500
Ge 0.500 0.000 0.000
Mn 0.000 0.000 0.000
Ag 0.500 0.500 0.500